No. 1
Material: Pr8GaSe6
Method: DFT, GGA-PBE
State: optimized geometry

Cell and atoms, written as POSCAR:
```
Pr8GaSe6
1.0
10.9331 0.0000 0.0000
-5.4665 9.4683 0.0000
0.0000 0.0000 4.2720
Pr Ga Se
8 1 6
Cartesian
-3.5268 6.7662 1.0588 Pr
1.3702 3.0309 1.0588 Pr
3.3099 0.3288 3.2131 Pr
0.0000 6.3122 3.2063 Pr
5.4665 3.1561 1.0657 Pr
2.1566 9.1395 1.0588 Pr
4.0963 6.4374 3.2131 Pr
8.9933 2.7021 3.2131 Pr
0.0000 0.0000 0.0000 Ga
-1.2154 4.5750 1.0652 Se
-0.8968 8.2333 1.0652 Se
3.3544 3.3400 3.2068 Se
2.1121 6.1283 1.0652 Se
6.3633 1.2350 3.2068 Se
6.6819 4.8933 3.2068 Se
```

Final energy (eV per formula unit): -82.394

=====

No. 2
Material: Pr2GaSe
Method: DFT, GGA-PBE
State: optimized geometry

Cell and atoms, written as POSCAR:
```
Pr2GaSe
1.0
2.0371 1.1761 8.0382
-2.0371 1.1761 8.0382
0.0000 -2.3522 8.0382
Pr Ga Se
2 1 1
Cartesian
0.0000 0.0000 0.0000 Pr
0.0000 0.0000 4.2936 Pr
0.0000 0.0000 18.2411 Ga
0.0000 0.0000 14.1683 Se
```

ΔE to the lowest computed polymorph (kcal/mol of atoms): 4.58
Final energy (eV per formula unit): -20.241

=====

No. 3
Material: Pr2GaSe5
Method: DFT, GGA-PBE
State: optimized geometry

Cell and atoms, written as POSCAR:
```
Pr2GaSe5
1.0
5.6034 0.0000 0.0000
0.0065 7.5320 0.0000
2.7989 3.5589 6.4850
Pr Ga Se
2 1 5
Cartesian
0.0000 0.0000 0.0000 Pr
2.8050 2.5499 2.3214 Pr
2.8077 6.5592 3.5522 Ga
2.8312 8.5857 4.7894 Se
2.8082 7.1619 1.1507 Se
4.2705 4.6270 4.0662 Se
5.6053 2.5084 1.2868 Se
6.9403 4.6302 4.0640 Se
```

Final energy (eV per formula unit): -39.611

=====

No. 4
Material: Pr2GaSe
Method: DFT, GGA-PBE
State: optimized geometry

Cell and atoms, written as POSCAR:
```
Pr2GaSe
1.0
2.0843 1.2034 7.5622
-2.0843 1.2034 7.5622
0.0000 -2.4067 7.5622
Pr Ga Se
2 1 1
Cartesian
0.0000 0.0000 5.6214 Pr
0.0000 0.0000 17.0652 Pr
0.0000 0.0000 0.0000 Ga
0.0000 0.0000 11.3433 Se
```

ΔE to the lowest computed polymorph (kcal/mol of atoms): 1.42
Final energy (eV per formula unit): -20.790

=====

No. 5
Material: Pr3GaSe6
Method: DFT, GGA-PBE
State: optimized geometry

Cell and atoms, written as POSCAR:
```
Pr3GaSe6
1.0
5.7924 -7.1995 0.0000
5.7924 7.1995 0.0000
0.0000 0.0000 6.9953
Pr Ga Se
6 2 12
Cartesian
5.7924 5.7724 3.4976 Pr
3.6663 1.4162 4.1762 Pr
3.6663 -1.4162 0.6785 Pr
7.9185 1.4162 4.1762 Pr
7.9185 -1.4162 0.6785 Pr
5.7924 -5.7724 0.0000 Pr
5.7924 2.8747 0.9415 Ga
5.7924 -2.8747 4.4392 Ga
3.8744 3.7929 2.1443 Se
1.8736 0.4368 2.0855 Se
1.8736 -0.4368 5.5832 Se
5.7924 3.1473 5.5142 Se
7.7103 3.7929 2.1443 Se
5.7924 0.5829 1.9259 Se
5.7924 -0.5829 5.4235 Se
3.8744 -3.7929 5.6419 Se
5.7924 -3.1473 2.0166 Se
9.7112 0.4368 2.0855 Se
9.7112 -0.4368 5.5832 Se
7.7103 -3.7929 5.6419 Se
```

Final energy (eV per formula unit): -54.000

=====

No. 6
Material: PrGaSe2
Method: DFT, GGA-PBE
State: optimized geometry

Cell and atoms, written as POSCAR:
```
PrGaSe2
1.0
5.9290 0.0000 0.0000
0.0000 4.3056 0.0000
-2.8640 0.0000 7.7717
Pr Ga Se
2 2 4
Cartesian
0.0125 1.0764 2.2905 Pr
3.0524 3.2292 5.4812 Pr
-0.6600 1.0764 6.3212 Ga
3.7249 3.2292 1.4505 Ga
1.3773 3.2292 0.5563 Se
0.0824 3.2292 4.4645 Se
2.9825 1.0764 3.3072 Se
1.6876 1.0764 7.2154 Se
```

Final energy (eV per formula unit): -19.958

=====

No. 7
Material: Pr2GaSe
Method: DFT, GGA-PBE
State: optimized geometry

Cell and atoms, written as POSCAR:
```
Pr2GaSe
1.0
3.6035 0.0000 0.0000
0.0000 3.6035 0.0000
0.0000 0.0000 7.9494
Pr Ga Se
2 1 1
Cartesian
0.0000 0.0000 1.9331 Pr
0.0000 0.0000 6.0162 Pr
1.8018 1.8018 3.9747 Ga
1.8018 1.8018 0.0000 Se
```

ΔE to the lowest computed polymorph (kcal/mol of atoms): 5.15
Final energy (eV per formula unit): -20.142

=====

No. 8
Material: Pr2GaSe
Method: DFT, GGA-PBE
State: optimized geometry

Cell and atoms, written as POSCAR:
```
Pr2GaSe
1.0
2.2102 -11.8218 0.0000
2.2102 11.8218 0.0000
0.0000 0.0000 4.2079
Pr Ga Se
4 2 2
Cartesian
2.2102 10.2521 3.1560 Pr
2.2102 4.2946 3.1560 Pr
2.2102 -4.2946 1.0520 Pr
2.2102 -10.2521 1.0520 Pr
2.2102 0.8771 3.1560 Ga
2.2102 -0.8771 1.0520 Ga
2.2102 7.2862 3.1560 Se
2.2102 -7.2862 1.0520 Se
```

ΔE to the lowest computed polymorph (kcal/mol of atoms): 0.00
Final energy (eV per formula unit): -21.036

=====

| no. | formation energy (no corrections) (eV/atom) | spin magnetization (Bohr magnetons per cell) |
| --- | --- | --- |
| 1 | -1.348 | 0.00 |
| 2 | -1.043 | 0.00 |
| 3 | -1.200 | 0.00 |
| 4 | -1.180 | 0.00 |
| 5 | -1.573 | 0.00 |
| 6 | -1.296 | 0.00 |
| 7 | -1.018 | 0.00 |
| 8 | -1.241 | 0.00 |